# NdSc3Cu2, optimized geometry, DFT PBE
# E_tot	-5.48	eV/atom
# formation enthalpy at 0 K	-0.15	eV per atom
# spin magnetization	0.00	μB per formula unit
data_NdSc3Cu2
_space_group_name_H-M_alt 'P 1'
_space_group_IT_number 1
_space_group_name_Hall 'P 1'
_cell_length_a 3.300
_cell_length_b 3.300
_cell_length_c 11.714
_cell_angle_alpha 90.00
_cell_angle_beta 90.00
_cell_angle_gamma 90.00
loop_
_atom_site_label
_atom_site_type_symbol
_atom_site_fract_x
_atom_site_fract_y
_atom_site_fract_z
Nd1 Nd 0.500 0.500 0.500
Sc1 Sc 0.000 0.000 0.000
Sc2 Sc 0.000 0.000 0.727
Sc3 Sc 0.000 0.000 0.273
Cu1 Cu 0.500 0.500 0.860
Cu2 Cu 0.500 0.500 0.140

---

# NdScCu3, optimized geometry, DFT PBE
# E_tot	-4.88	eV/atom
# formation enthalpy at 0 K	-0.20	eV per atom
# spin magnetization	0.00	μB per formula unit
data_NdScCu3
_space_group_name_H-M_alt 'P 1'
_space_group_IT_number 1
_space_group_name_Hall 'P 1'
_cell_length_a 3.580
_cell_length_b 4.263
_cell_length_c 12.657
_cell_angle_alpha 90.00
_cell_angle_beta 98.13
_cell_angle_gamma 90.00
loop_
_atom_site_label
_atom_site_type_symbol
_atom_site_fract_x
_atom_site_fract_y
_atom_site_fract_z
Nd1 Nd 0.924 0.750 0.848
Nd2 Nd 0.076 0.250 0.152
Sc1 Sc 0.209 0.750 0.418
Sc2 Sc 0.791 0.250 0.582
Cu1 Cu 0.626 0.750 0.252
Cu2 Cu 0.374 0.250 0.748
Cu3 Cu 0.526 0.750 0.051
Cu4 Cu 0.474 0.250 0.949
Cu5 Cu 0.681 0.250 0.362
Cu6 Cu 0.319 0.750 0.638